# GGA-PBE SnMoPPb2, relaxed
data_SnMoPPb2
_chemical_formula_sum 'Sn1 Mo1 P1 Pb2'
_space_group_name_H-M_alt 'P 1'
_space_group_IT_number 1
_cell_length_a 5.571
_cell_length_b 4.586
_cell_length_c 5.571
_cell_angle_alpha 90.00
_cell_angle_beta 90.00
_cell_angle_gamma 90.00
loop_
_space_group_symop_operation_xyz
'x,y,z'
loop_
_atom_site_label
_atom_site_type_symbol
_atom_site_fract_x
_atom_site_fract_y
_atom_site_fract_z
Pb1 Pb 0.500 0.000 0.000
P1 P 0.000 0.000 0.000
Mo1 Mo 0.000 0.500 0.000
Sn1 Sn 0.500 0.500 0.500
Pb2 Pb 0.000 0.000 0.500
# - DOS(E_F): 4.41 states/eV per cell
# - Space group: P4/mmm
# - Energy of formation: 0.632 eV/atom

=====

# GGA-PBE TiMo2PPb, relaxed
data_TiMo2PPb
_chemical_formula_sum 'Ti1 Mo2 P1 Pb1'
_space_group_name_H-M_alt 'P 1'
_space_group_IT_number 1
_cell_length_a 4.647
_cell_length_b 5.207
_cell_length_c 4.647
_cell_angle_alpha 90.00
_cell_angle_beta 90.00
_cell_angle_gamma 90.00
loop_
_space_group_symop_operation_xyz
'x,y,z'
loop_
_atom_site_label
_atom_site_type_symbol
_atom_site_fract_x
_atom_site_fract_y
_atom_site_fract_z
Mo1 Mo 0.000 0.000 0.500
Mo2 Mo 0.500 0.000 0.000
Pb1 Pb 0.000 0.500 0.000
Ti1 Ti 0.000 0.000 0.000
P1 P 0.500 0.500 0.500
# - DOS(E_F): 6.59 states/eV per cell
# - Space group: P4/mmm
# - Energy of formation: 1.566 eV/atom

=====

# GGA-PBE Mo3PPd, relaxed
data_Mo3PPd
_chemical_formula_sum 'Mo3 P1 Pd1'
_space_group_name_H-M_alt 'P 1'
_space_group_IT_number 1
_cell_length_a 4.725
_cell_length_b 4.725
_cell_length_c 4.725
_cell_angle_alpha 90.00
_cell_angle_beta 90.00
_cell_angle_gamma 90.00
loop_
_space_group_symop_operation_xyz
'x,y,z'
loop_
_atom_site_label
_atom_site_type_symbol
_atom_site_fract_x
_atom_site_fract_y
_atom_site_fract_z
Pd1 Pd 0.000 0.000 0.000
Mo1 Mo 0.500 0.000 0.000
P1 P 0.500 0.500 0.500
Mo2 Mo 0.000 0.500 0.000
Mo3 Mo 0.000 0.000 0.500
# - DOS(E_F): 6.31 states/eV per cell
# - Energy above the lowest structure with this stoichiometry: 1489 meV/atom
# - Space group: Pm-3m
# - Energy of formation: 2.116 eV/atom

=====

# GGA-PBE Mo2P2Pd, relaxed
data_Mo2P2Pd
_chemical_formula_sum 'Mo4 P4 Pd2'
_space_group_name_H-M_alt 'P 1'
_space_group_IT_number 1
_cell_length_a 6.876
_cell_length_b 6.876
_cell_length_c 3.022
_cell_angle_alpha 90.00
_cell_angle_beta 90.00
_cell_angle_gamma 90.00
loop_
_space_group_symop_operation_xyz
'x,y,z'
loop_
_atom_site_label
_atom_site_type_symbol
_atom_site_fract_x
_atom_site_fract_y
_atom_site_fract_z
Pd1 Pd 0.500 0.500 0.000
P1 P 0.647 0.147 0.000
Mo1 Mo 0.353 0.147 0.500
P2 P 0.147 0.353 0.000
Mo2 Mo 0.853 0.353 0.500
Mo3 Mo 0.147 0.647 0.500
P3 P 0.853 0.647 0.000
Pd2 Pd 0.000 0.000 0.000
Mo4 Mo 0.647 0.853 0.500
P4 P 0.353 0.853 0.000
# - DOS(E_F): 8.79 states/eV per cell
# - Space group: P4/mbm
# - Energy of formation: -0.333 eV/atom

=====

# GGA-PBE MoP2Pd2, relaxed
data_MoP2Pd2
_chemical_formula_sum 'Mo2 P4 Pd4'
_space_group_name_H-M_alt 'P 1'
_space_group_IT_number 1
_cell_length_a 6.561
_cell_length_b 6.561
_cell_length_c 3.416
_cell_angle_alpha 90.00
_cell_angle_beta 90.00
_cell_angle_gamma 90.00
loop_
_space_group_symop_operation_xyz
'x,y,z'
loop_
_atom_site_label
_atom_site_type_symbol
_atom_site_fract_x
_atom_site_fract_y
_atom_site_fract_z
P1 P 0.156 0.344 0.000
Mo1 Mo 0.500 0.500 0.000
Pd1 Pd 0.850 0.350 0.500
Pd2 Pd 0.350 0.150 0.500
Mo2 Mo 0.000 0.000 0.000
Pd3 Pd 0.150 0.650 0.500
Pd4 Pd 0.650 0.850 0.500
P2 P 0.656 0.156 0.000
P3 P 0.844 0.656 0.000
P4 P 0.344 0.844 0.000
# - DOS(E_F): 6.03 states/eV per cell
# - Energy above the lowest structure with this stoichiometry: 0 meV/atom
# - Space group: P4/mbm
# - Energy of formation: -0.186 eV/atom

=====

# GGA-PBE MoP2Pd2, relaxed
data_MoP2Pd2
_chemical_formula_sum 'Mo1 P2 Pd2'
_space_group_name_H-M_alt 'P 1'
_space_group_IT_number 1
_cell_length_a 4.011
_cell_length_b 4.011
_cell_length_c 5.587
_cell_angle_alpha 68.96
_cell_angle_beta 68.96
_cell_angle_gamma 90.00
loop_
_space_group_symop_operation_xyz
'x,y,z'
loop_
_atom_site_label
_atom_site_type_symbol
_atom_site_fract_x
_atom_site_fract_y
_atom_site_fract_z
Pd1 Pd 0.750 0.250 0.500
P1 P 0.609 0.609 0.782
Pd2 Pd 0.250 0.750 0.500
P2 P 0.391 0.391 0.218
Mo1 Mo 0.000 0.000 0.000
# - DOS(E_F): 3.48 states/eV per cell
# - Energy above the lowest structure with this stoichiometry: 267 meV/atom
# - Space group: I4/mmm
# - Energy of formation: 0.080 eV/atom

=====

# GGA-PBE MoP3Pd, relaxed
data_MoP3Pd
_chemical_formula_sum 'Mo1 P3 Pd1'
_space_group_name_H-M_alt 'P 1'
_space_group_IT_number 1
_cell_length_a 4.548
_cell_length_b 4.548
_cell_length_c 4.548
_cell_angle_alpha 90.00
_cell_angle_beta 90.00
_cell_angle_gamma 90.00
loop_
_space_group_symop_operation_xyz
'x,y,z'
loop_
_atom_site_label
_atom_site_type_symbol
_atom_site_fract_x
_atom_site_fract_y
_atom_site_fract_z
Pd1 Pd 0.000 0.000 0.000
Mo1 Mo 0.500 0.500 0.500
P1 P 0.500 0.000 0.000
P2 P 0.000 0.000 0.500
P3 P 0.000 0.500 0.000
# - DOS(E_F): 4.85 states/eV per cell
# - Energy above the lowest structure with this stoichiometry: 613 meV/atom
# - Space group: Pm-3m
# - Energy of formation: 1.221 eV/atom

=====

# GGA-PBE Mo3PPd, relaxed
data_Mo3PPd
_chemical_formula_sum 'Mo3 P1 Pd1'
_space_group_name_H-M_alt 'P 1'
_space_group_IT_number 1
_cell_length_a 4.430
_cell_length_b 4.430
_cell_length_c 4.430
_cell_angle_alpha 90.00
_cell_angle_beta 90.00
_cell_angle_gamma 90.00
loop_
_space_group_symop_operation_xyz
'x,y,z'
loop_
_atom_site_label
_atom_site_type_symbol
_atom_site_fract_x
_atom_site_fract_y
_atom_site_fract_z
P1 P 0.000 0.000 0.000
Mo1 Mo 0.500 0.000 0.000
Pd1 Pd 0.500 0.500 0.500
Mo2 Mo 0.000 0.000 0.500
Mo3 Mo 0.000 0.500 0.000
# - DOS(E_F): 10.11 states/eV per cell
# - Energy above the lowest structure with this stoichiometry: 0 meV/atom
# - Space group: Pm-3m
# - Energy of formation: 0.627 eV/atom

=====

Repeat the third record exactly.
# GGA-PBE Mo3PPd, relaxed
data_Mo3PPd
_chemical_formula_sum 'Mo3 P1 Pd1'
_space_group_name_H-M_alt 'P 1'
_space_group_IT_number 1
_cell_length_a 4.725
_cell_length_b 4.725
_cell_length_c 4.725
_cell_angle_alpha 90.00
_cell_angle_beta 90.00
_cell_angle_gamma 90.00
loop_
_space_group_symop_operation_xyz
'x,y,z'
loop_
_atom_site_label
_atom_site_type_symbol
_atom_site_fract_x
_atom_site_fract_y
_atom_site_fract_z
Pd1 Pd 0.000 0.000 0.000
Mo1 Mo 0.500 0.000 0.000
P1 P 0.500 0.500 0.500
Mo2 Mo 0.000 0.500 0.000
Mo3 Mo 0.000 0.000 0.500
# - DOS(E_F): 6.31 states/eV per cell
# - Energy above the lowest structure with this stoichiometry: 1489 meV/atom
# - Space group: Pm-3m
# - Energy of formation: 2.116 eV/atom

=====

Q: DOS(E_F) of number 1 (SnMoPPb2)?
A: 4.41 states/eV per cell

=====

Q: Look up the DOS(E_F) of the sixth one.
A: 3.48 states/eV per cell

=====

Q: What is the formula in the second record?
A: TiMo2PPb